(1)
A plane-wave DFT calculation with PBE was carried out for a geometry-optimized PrCuP2Pd structure.

Values from the calculation:
- E: -5.701 eV per atom
- M_tot: 0.005 μB/cell
- Crystal system: tetragonal

Cell lengths 4.080, 4.080, 10.138 Å; angles 90.00, 90.00, 90.00 degrees
Space group I-4m2 (No. 119)
Inequivalent atoms, fractional coordinates:
Pr  0.000  0.000  0.000 x2
Cu  0.000  0.500  0.250 x2
P  0.000  0.000  0.385 x4
Pd  0.000  0.500  0.750 x2

=====

(2)
A plane-wave DFT calculation with PBE was carried out for a geometry-optimized SrCuP2Pd structure.

Values from the calculation:
- E: -4.968 eV per atom
- Crystal system: tetragonal

Cell lengths 4.130, 4.130, 10.354 Å; angles 90.00, 90.00, 90.00 degrees
Space group I-4m2 (No. 119)
Inequivalent atoms, fractional coordinates:
Sr  0.000  0.000  0.000 x2
Cu  0.000  0.500  0.750 x2
P  0.000  0.000  0.385 x4
Pd  0.000  0.500  0.250 x2

=====

(3)
A plane-wave DFT calculation with PBE was carried out for a geometry-optimized PmCu4P2 structure.

Values from the calculation:
- E: -4.851 eV per atom
- M_tot: 0.006 μB/cell
- Crystal system: trigonal

Cell lengths 4.0194, 4.0194, 22.2848 Å; angles 90.00, 90.00, 120.00 degrees
Space group R-3m (No. 166, hexagonal axes)
Inequivalent atoms, fractional coordinates:
Pm  0.0000  0.0000  0.0000 x3
Cu  0.0000  0.0000  0.1462 x6
Cu  0.0000  0.0000  0.4314 x6
P  0.0000  0.0000  0.2515 x6

=====

(4)
A plane-wave DFT calculation with PBE was carried out for a geometry-optimized PrCu2P2 structure.

Values from the calculation:
- E: -5.259 eV per atom
- M_tot: 0.000 μB/cell
- Crystal system: tetragonal

Cell lengths 4.176, 4.176, 9.398 Å; angles 90.00, 90.00, 90.00 degrees
Space group P4/nmm (No. 129, origin choice 2)
Inequivalent atoms, fractional coordinates:
Pr  0.250  0.250  0.245 x2
Cu  0.250  0.250  0.880 x2
Cu  0.250  0.750  0.500 x2
P  0.250  0.250  0.634 x2
P  0.250  0.750  0.000 x2

=====

Among the records above, which one has the lowest E? PrCuP2Pd

=====

Among the records above, which one has the highest E? PmCu4P2

=====

What is the formula in the first record? PrCuP2Pd

=====

Which formula does entry 2 have? SrCuP2Pd